Below is a relaxed ScRu2Br crystal, with properties calculated at the PBE-GGA level.

Cell: 5.204 5.204 5.204 Å, 136.68 136.68 62.93°
Sites, in units of the cell vectors:
Br: 0.750 0.250 0.500
Ru: 0.000 0.000 0.000
Ru: 0.250 0.750 0.500
Sc: 0.500 0.500 0.000

E_tot   -6.3229 eV per atom
Total magnetization   0.00 μB/f.u.
Relative energy among the computed polymorphs   397.5 meV per atom
DOS at the Fermi energy   3.34 states/eV per cell
SG   I-4m2